Entry 1:
Compound: Sc2BeGa2
Source: Alexandria
Functional: GGA-PBEsol
Structure: optimized geometry

The structure belongs to space group P4/mbm (No. 127); the cell edges are 6.285, 6.285 and 4.262 Å and the angles 90.00°, 90.00° and 90.00°. The inequivalent atoms are Sc at (0.169, 0.331, 0.000), Be at (0.000, 0.000, 0.500) and Ga at (0.142, 0.642, 0.500).

Its total DFT energy (no corrections) is -5.24 eV/atom. The value obtained for the density of states at the Fermi level is 4.1 states/eV per cell. For the magnetization, the calculation gives 0.00 μB/atom. The value obtained for the calculated formation energy is -45 kJ/mol of atoms.

Entry 2:
Compound: Cr3Tc
Source: Alexandria
Functional: GGA-PBEsol
Structure: optimized geometry

The structure belongs to space group Cmmm (No. 65); the cell edges are 2.885, 4.135 and 8.027 Å and the angles 90.00°, 90.00° and 90.00°. The inequivalent atoms are Cr at (0.000, 0.000, 0.000), Cr at (0.000, 0.500, 0.238) and Tc at (0.000, 0.000, 0.500).

Its total DFT energy (no corrections) is -10.41 eV/atom. The value obtained for the density of states at the Fermi level is 7.6 states/eV per cell. For the magnetization, the calculation gives 0.00 μB/atom. The value obtained for the calculated formation energy is 9 kJ/mol of atoms.

Entry 3:
Compound: LaBeSb
Source: Alexandria
Functional: GGA-PBEsol
Structure: optimized geometry

The structure belongs to space group Imm2 (No. 44); the cell edges are 3.274, 3.750 and 11.013 Å and the angles 90.00°, 90.00° and 90.00°. The inequivalent atoms are La at (0.000, 0.000, 0.000), Be at (0.000, 0.000, 0.309) and Sb at (0.000, 0.000, 0.710).

The calculation puts the polymorph energy (0 for the lowest one) at 18 meV per atom. Its total DFT energy (no corrections) is -4.81 eV/atom. The value obtained for the density of states at the Fermi level is 3.4 states/eV per cell. For the magnetization, the calculation gives 0.00 μB/atom. As for the formation energy from raw total energies: -0.173 eV/atom.

Entry 4:
Compound: TaCo2ReSi
Source: Alexandria
Functional: GGA-PBEsol
Structure: optimized geometry

The structure belongs to space group P4/mmm (No. 123); the cell edges are 4.343, 4.343 and 4.835 Å and the angles 90.00°, 90.00° and 90.00°. The inequivalent atoms are Ta at (0.000, 0.000, 0.000), Co at (0.000, 0.500, 0.500), Re at (0.000, 0.000, 0.500) and Si at (0.500, 0.500, 0.000).

Its total DFT energy (no corrections) is -7.82 eV/atom. The value obtained for the density of states at the Fermi level is 6.5 states/eV per cell. For the magnetization, the calculation gives 0.28 μB/atom. As for the formation energy from raw total energies: 1.600 eV/atom.